No. 1
The following is a DFT calculation (GGA-PBE) of a relaxed structure of SrPr6Te8.

```
SrPr6Te8
1.0
0.000 6.410 6.410
6.410 0.000 6.410
6.410 6.410 0.000
Sr Pr Te
1 6 8
Cartesian
0.000 0.000 0.000
3.205 3.205 0.000
3.205 0.000 3.205
6.410 3.205 3.205
0.000 3.205 3.205
3.205 6.410 3.205
3.205 3.205 6.410
3.205 3.205 3.205
6.410 6.410 3.309
6.410 3.309 6.410
9.510 6.410 6.410
3.309 6.410 6.410
6.410 9.510 6.410
6.410 6.410 9.510
9.615 9.615 9.615
```

Properties
- M_tot (μB/cell) = 0.00
- calculated total energy (Ha/atom) = -0.191
- space-group type = Fm-3m (225)

No. 2
The following is a DFT calculation (GGA-PBE) of a relaxed structure of PmGeRhF.

```
PmGeRhF
1.0
4.090 0.000 0.000
0.000 4.090 0.000
0.000 0.000 8.327
Pm Ge Rh F
2 2 2 2
Cartesian
1.023 1.023 1.530
3.068 3.068 6.797
1.023 1.023 5.557
3.068 3.068 2.769
1.023 3.068 4.163
3.068 1.023 4.163
1.023 3.068 0.000
3.068 1.023 0.000
```

Properties
- M_tot (μB/cell) = 0.00
- calculated total energy (Ha/atom) = -0.241
- space-group type = P4/nmm (129)

No. 3
The following is a DFT calculation (GGA-PBE) of a relaxed structure of BaNa2Ru.

```
BaNa2Ru
1.0
-2.216 2.216 12.075
2.216 -2.216 12.075
2.216 2.216 -12.075
Ba Na Ru
2 4 2
Cartesian
0.000 0.000 0.000
0.000 2.216 6.038
1.108 -0.924 9.056
1.292 1.108 3.019
1.108 3.141 -3.019
0.924 1.108 15.094
2.216 0.000 6.038
0.000 0.000 12.075
```

Properties
- M_tot (μB/cell) = 1.90
- ΔH_f (0 K) (eV/f.u.) = 2.81
- energy above the most stable polymorph in this dataset (meV per atom) = 0
- space-group type = I-42d (122)

No. 4
The following is a DFT calculation (GGA-PBE) of a relaxed structure of Ca3Tb5I12.

```
Ca3Tb5I12
1.0
-9.262 9.262 9.262
9.262 -9.262 9.262
9.262 9.262 -9.262
Ca Tb I
12 20 48
Cartesian
4.631 2.315 0.000
9.262 4.631 -2.315
2.315 0.000 4.631
11.577 0.000 4.631
0.000 4.631 2.315
4.631 -2.315 9.262
4.631 11.577 0.000
9.262 4.631 6.946
-2.315 9.262 4.631
6.946 9.262 4.631
0.000 4.631 11.577
4.631 6.946 9.262
0.000 0.000 0.000
4.631 4.631 -4.631
4.631 -4.631 4.631
9.262 0.000 0.000
13.892 2.315 0.000
9.262 -4.631 6.946
6.946 9.262 -4.631
6.946 0.000 4.631
4.631 6.946 0.000
9.262 4.631 2.315
-4.631 4.631 4.631
0.000 9.262 0.000
0.000 0.000 9.262
4.631 4.631 4.631
0.000 4.631 6.946
4.631 2.315 9.262
2.315 9.262 4.631
2.315 0.000 13.892
0.000 13.892 2.315
-4.631 6.946 9.262
2.745 -0.422 1.353
11.147 5.984 -5.053
8.840 -1.353 2.745
14.315 -1.886 3.277
12.007 0.422 1.353
11.147 -3.277 5.053
1.353 2.745 -0.422
12.539 4.209 -1.886
5.984 5.053 -1.886
7.908 2.745 0.422
-0.422 1.353 2.745
5.053 -1.886 5.984
8.840 7.908 -2.745
5.053 1.886 3.277
7.908 -2.745 8.840
5.984 -5.053 11.147
3.277 5.053 1.886
10.615 6.517 0.422
2.745 8.840 -1.353
11.147 3.277 4.209
5.053 11.147 -3.277
8.840 1.353 6.517
1.886 3.277 5.053
2.745 0.422 7.908
6.517 8.840 1.353
7.376 5.984 4.209
0.422 7.908 2.745
4.209 -1.886 12.539
-1.886 5.984 5.053
6.517 0.422 10.615
-1.353 2.745 8.840
5.984 4.209 7.376
3.277 14.315 -1.886
1.353 12.007 0.422
4.209 7.376 5.984
0.422 1.353 12.007
4.209 11.147 3.277
9.684 7.908 6.517
1.353 6.517 8.840
3.277 4.209 11.147
-3.277 5.053 11.147
7.908 6.517 9.684
-1.886 12.539 4.209
-2.745 8.840 7.908
-5.053 11.147 5.984
0.422 10.615 6.517
-1.886 3.277 14.315
6.517 9.684 7.908
```

Properties
- M_tot (μB/cell) = 10.72
- calculated total energy (Ha/atom) = -0.116
- space-group type = Ia-3d (230)

No. 5
The following is a DFT calculation (GGA-PBE) of a relaxed structure of Sr3PmPa2N6.

```
Sr3PmPa2N6
1.0
7.951 -1.824 0.000
7.951 1.824 0.000
-1.822 0.000 7.124
Sr Pm Pa N
3 1 2 6
Cartesian
0.000 0.000 0.000
4.110 0.000 4.752
9.969 0.000 2.371
-0.911 0.000 3.562
5.002 0.000 1.218
9.077 0.000 5.905
1.475 0.000 4.429
2.775 0.000 0.360
7.166 0.000 1.799
6.913 0.000 5.325
11.304 0.000 6.764
12.604 0.000 2.694
```

Properties
- M_tot (μB/cell) = 0.00
- calculated total energy (Ha/atom) = -0.290
- space-group type = C2/m (12)

No. 6
The following is a DFT calculation (GGA-PBE) of a relaxed structure of HfZrHS.

```
HfZrHS
1.0
3.511 0.000 0.000
-1.755 3.041 0.000
0.000 0.000 5.720
Hf Zr H S
1 1 1 1
Cartesian
0.000 0.000 0.000
0.000 2.027 3.125
0.000 0.000 3.744
1.755 1.014 1.515
```

Properties
- M_tot (μB/cell) = 0.00
- calculated total energy (Ha/atom) = -0.272
- space-group type = P3m1 (156)

No. 7
The following is a DFT calculation (GGA-PBE) of a relaxed structure of SmDy5Sb6.

```
SmDy5Sb6
1.0
3.810 -6.601 0.000
3.810 6.601 0.000
-2.542 0.000 7.183
Sm Dy Sb
1 5 6
Cartesian
0.000 0.000 0.000
2.539 4.420 3.592
3.810 2.207 0.000
2.539 0.000 3.592
3.810 -2.207 0.000
2.539 -4.420 3.592
1.283 2.220 1.813
0.024 0.000 5.381
1.283 -2.220 1.813
3.796 2.220 5.370
5.054 0.000 1.802
3.796 -2.220 5.370
```

Properties
- M_tot (μB/cell) = 0.00
- calculated total energy (Ha/atom) = -0.203
- space-group type = C2/m (12)

No. 8
The following is a DFT calculation (GGA-PBE) of a relaxed structure of SrOs3Pd.

```
SrOs3Pd
1.0
4.853 0.000 0.000
0.000 4.853 0.000
0.000 0.000 4.853
Sr Os Pd
1 3 1
Cartesian
0.000 0.000 0.000
0.000 2.426 2.426
2.426 0.000 2.426
2.426 2.426 0.000
2.426 2.426 2.426
```

Properties
- M_tot (μB/cell) = 4.93
- ΔH_f (0 K) (eV/f.u.) = 10.16
- energy above the most stable polymorph in this dataset (meV per atom) = 0
- space-group type = Pm-3m (221)

No. 9
The following is a DFT calculation (GGA-PBE) of a relaxed structure of CoPSe2.

```
CoPSe2
1.0
1.744 1.007 7.468
-1.744 1.007 7.468
0.000 -2.013 7.468
Co P Se
1 1 2
Cartesian
0.000 0.000 0.000
0.000 0.000 11.202
0.000 0.000 8.704
0.000 0.000 13.700
```

Properties
- M_tot (μB/cell) = 0.00
- calculated total energy (Ha/atom) = -0.173
- space-group type = R-3m (166)

No. 10
The following is a DFT calculation (GGA-PBE) of a relaxed structure of SeS3I.

```
SeS3I
1.0
7.489 0.000 0.000
0.000 4.875 0.000
-1.926 0.000 8.453
Se S I
2 6 2
Cartesian
-0.593 1.219 3.936
6.156 3.656 4.518
1.555 2.501 0.927
1.555 4.811 0.927
0.297 3.656 7.783
5.266 1.219 0.671
4.008 0.064 7.527
4.008 2.374 7.527
1.470 1.219 5.575
4.093 3.656 2.879
```

Properties
- M_tot (μB/cell) = 0.00
- energy above the most stable polymorph in this dataset (meV per atom) = 0
- space-group type = P2_1/m (11)

No. 11
The following is a DFT calculation (GGA-PBE) of a relaxed structure of Zr2MnPd.

```
Zr2MnPd
1.0
-2.047 2.047 9.572
2.047 -2.047 9.572
2.047 2.047 -9.572
Zr Mn Pd
4 2 2
Cartesian
3.071 1.020 -2.393
1.020 1.024 2.393
-1.024 1.027 7.179
1.027 1.024 11.965
0.000 0.000 0.000
0.000 2.047 4.786
2.047 0.000 4.786
0.000 0.000 9.572
```

Properties
- M_tot (μB/cell) = 6.08
- ΔH_f (0 K) (eV/f.u.) = 1.23
- space-group type = I-42d (122)

No. 12
The following is a DFT calculation (GGA-PBE) of a relaxed structure of Ac2SmHoS6.

```
Ac2SmHoS6
1.0
3.650 2.108 6.233
-3.650 2.108 6.233
0.000 -4.215 6.233
Ac Sm Ho S
2 1 1 6
Cartesian
0.000 0.000 0.000
0.000 0.000 9.332
0.000 0.000 4.003
0.000 0.000 13.323
-1.313 -2.500 8.391
-2.095 0.239 11.534
-1.509 2.387 8.391
0.841 -1.933 11.534
2.821 0.113 8.391
1.254 1.695 11.534
```

Properties
- M_tot (μB/cell) = 0.00
- calculated total energy (Ha/atom) = -0.233
- space-group type = R3 (146)